# KDyP4O12 meta-GGA SCAN PBEsol geometry
data_KDyP4O12
_cell_length_a 7.825
_cell_length_b 12.340
_cell_length_c 10.430
_cell_angle_alpha 90.00
_cell_angle_beta 111.07
_cell_angle_gamma 90.00
_space_group_name_H-M_alt 'C 1 2/c 1'
_space_group_IT_number 15
loop_
_space_group_symop_operation_xyz
'x,y,z'
'-x,-y,-z'
'-x,y,-z+1/2'
'x,-y,z+1/2'
'x+1/2,y+1/2,z'
'-x+1/2,-y+1/2,-z'
'-x+1/2,y+1/2,-z+1/2'
'x+1/2,-y+1/2,z+1/2'
loop_
_atom_site_label
_atom_site_fract_x
_atom_site_fract_y
_atom_site_fract_z
K1 0.000 0.185 0.250
Dy1 0.000 0.119 0.750
P1 0.045 0.328 0.997
P2 0.221 0.475 0.442
O1 0.055 0.242 0.602
O2 0.069 0.430 0.910
O3 0.098 0.370 0.433
O4 0.146 0.012 0.414
O5 0.215 0.031 0.676
O6 0.215 0.300 0.116
# - total magnetization (μB per atom) = 0.000
# - Fermi-level density of states (states/eV per atom) = 0.00
# - energy above the lowest structure with this stoichiometry (kJ/mol of atoms) = 0.3